A relaxed SrPr14Dy crystal, computed with PBE-GGA.

The structure in POSCAR format:
```
SrPr14Dy
1.0
7.475 -0.016 0.000
0.016 7.475 0.000
0.000 0.000 10.483
Sr Pr Dy
1 14 1
direct
0.875 0.875 0.500 Sr
0.875 0.875 0.000 Pr
0.375 0.375 0.000 Pr
0.875 0.375 0.500 Pr
0.875 0.375 0.000 Pr
0.375 0.875 0.500 Pr
0.375 0.875 0.000 Pr
0.619 0.131 0.247 Pr
0.619 0.131 0.753 Pr
0.131 0.619 0.247 Pr
0.131 0.619 0.753 Pr
0.619 0.619 0.247 Pr
0.619 0.619 0.753 Pr
0.131 0.131 0.247 Pr
0.131 0.131 0.753 Pr
0.375 0.375 0.500 Dy
```

Computed properties:
SG   P4/mmm, No. 123
Energy of formation   0.040 eV per atom

---

A relaxed Nd4NiPBr2 crystal, computed with PBE-GGA.

The structure in POSCAR format:
```
Nd4NiPBr2
1.0
4.029 0.000 0.000
0.000 7.404 0.230
0.000 -2.495 7.307
Nd Ni P Br
4 1 1 2
direct
0.500 0.218 0.198 Nd
0.500 0.782 0.802 Nd
0.000 0.267 0.792 Nd
0.000 0.733 0.208 Nd
0.000 0.000 0.000 Ni
0.500 0.500 0.000 P
0.500 0.000 0.500 Br
0.000 0.500 0.500 Br
```

Computed properties:
SG   P2/m, No. 10
Formation energy without anion corrections   -1.12 eV per atom

---

A relaxed Tb4PrHo2 crystal, computed with PBE-GGA.

The structure in POSCAR format:
```
Tb4PrHo2
1.0
-2.867 1.080 -1.776
-4.781 -6.214 3.934
2.064 6.998 4.458
Tb Pr Ho
4 1 2
direct
0.295 0.705 0.589 Tb
0.360 0.167 0.719 Tb
0.705 0.295 0.411 Tb
0.640 0.833 0.281 Tb
0.000 0.000 0.000 Pr
0.070 0.431 0.141 Ho
0.930 0.569 0.859 Ho
```

Computed properties:
SG   C2/m, No. 12
Energy of formation   0.033 eV per atom
Relative energy among the computed polymorphs   0.000 eV/atom

---

A relaxed TlH3Pb crystal, computed with PBE-GGA.

The structure in POSCAR format:
```
TlH3Pb
1.0
4.407 0.000 0.000
0.000 4.407 0.000
0.000 0.000 4.407
Pb H Tl
1 3 1
direct
0.000 0.000 0.000 Pb
0.000 0.500 0.000 H
0.000 0.000 0.500 H
0.500 0.000 0.000 H
0.500 0.500 0.500 Tl
```

Computed properties:
SG   Pm-3m, No. 221
Relative energy among the computed polymorphs   0.000 eV/atom

---

A relaxed Er7InSe5 crystal, computed with PBE-GGA.

The structure in POSCAR format:
```
Er7InSe5
1.0
4.013 0.000 0.000
-2.007 6.688 0.009
0.000 -0.027 24.050
Er In Se
14 2 10
direct
0.484 0.969 0.250 Er
0.516 0.032 0.750 Er
0.639 0.278 0.035 Er
0.361 0.723 0.965 Er
0.361 0.723 0.535 Er
0.639 0.279 0.465 Er
0.182 0.364 0.178 Er
0.818 0.637 0.823 Er
0.818 0.636 0.678 Er
0.182 0.365 0.322 Er
0.904 0.807 0.117 Er
0.097 0.194 0.883 Er
0.097 0.194 0.617 Er
0.904 0.808 0.383 Er
0.809 0.618 0.250 In
0.192 0.384 0.750 In
0.000 0.001 0.000 Se
0.726 0.451 0.928 Se
0.275 0.550 0.072 Se
0.548 0.097 0.361 Se
0.452 0.905 0.639 Se
0.000 0.001 0.500 Se
0.275 0.550 0.428 Se
0.726 0.451 0.572 Se
0.453 0.905 0.861 Se
0.548 0.096 0.139 Se
```

Computed properties:
SG   C2/m, No. 12
Formation energy without anion corrections   -1.40 eV per atom

---

A relaxed CuAg2Te crystal, computed with PBE-GGA.

The structure in POSCAR format:
```
CuAg2Te
1.0
4.153 0.016 0.000
-0.019 4.153 0.000
0.000 0.000 4.383
Ag Cu Te
2 1 1
direct
0.000 0.000 0.000 Ag
0.500 0.500 0.000 Ag
0.500 0.000 0.500 Cu
0.000 0.500 0.500 Te
```

Computed properties:
SG   P4/mmm, No. 123
Relative energy among the computed polymorphs   0.007 eV/atom
Formation energy without anion corrections   0.12 eV per atom

---

A relaxed Ho3ErGa3 crystal, computed with PBE-GGA.

The structure in POSCAR format:
```
Ho3ErGa3
1.0
4.791 0.000 0.000
0.000 9.042 0.000
0.000 -4.521 7.831
Ho Er Ga
6 2 6
direct
0.750 0.760 0.747 Ho
0.750 0.253 0.013 Ho
0.750 0.987 0.240 Ho
0.250 0.240 0.253 Ho
0.250 0.747 0.987 Ho
0.250 0.013 0.760 Ho
0.250 0.667 0.333 Er
0.750 0.333 0.667 Er
0.250 0.550 0.609 Ga
0.250 0.391 0.941 Ga
0.250 0.059 0.450 Ga
0.750 0.450 0.391 Ga
0.750 0.609 0.059 Ga
0.750 0.941 0.550 Ga
```

Computed properties:
SG   P6_3/m, No. 176
Energy of formation   -0.415 eV per atom

---

A relaxed CuAg2Pb crystal, computed with PBE-GGA.

The structure in POSCAR format:
```
CuAg2Pb
1.0
-9.121 0.396 1.527
-8.768 -2.763 1.085
-8.228 -1.477 3.976
Ag Cu Pb
2 1 1
direct
0.013 0.013 0.013 Ag
0.487 0.487 0.487 Ag
0.750 0.750 0.750 Cu
0.250 0.250 0.250 Pb
```

Computed properties:
SG   R-3m, No. 166
Energy of formation   0.216 eV per atom

---

Calculated electronic total energy (eV/atom), listed in the same order as above: -4.53 -5.32 -4.60 -2.81 -5.41 -3.12 -4.33 -3.16
Calculated mass density (g/cm3), listed in the same order as above: 6.30 6.23 8.10 8.04 8.65 8.94 8.53 9.98
Calculated D(E_F) (states/eV/f.u.), listed in the same order as above: 23.618 6.119 10.122 0.897 7.726 0.968 4.560 0.804